## one
{
  "formula": "BaSiTe",
  "functional": "PBE",
  "state": "optimized geometry",
  "lattice_angstrom": [[7.787, 0.000, 0.000], [0.000, 7.787, 0.000], [0.000, 0.000, 7.787]],
  "species": ["Ba", "Ba", "Ba", "Ba", "Si", "Si", "Si", "Si", "Te", "Te", "Te", "Te"],
  "frac_coords": [[0.000, 0.000, 0.000], [0.000, 0.500, 0.500], [0.500, 0.000, 0.500], [0.500, 0.500, 0.000], [0.250, 0.250, 0.750], [0.250, 0.750, 0.250], [0.750, 0.250, 0.250], [0.750, 0.750, 0.750], [0.250, 0.250, 0.250], [0.250, 0.750, 0.750], [0.750, 0.250, 0.750], [0.750, 0.750, 0.250]],
  "space_group": "No. 216",
  "magnetic_moment_mub_per_atom": 0.0002,
  "dos_at_fermi_per_ev_atom": 1.175
}



## two
{
  "formula": "BaSiTe",
  "functional": "PBE",
  "state": "optimized geometry",
  "lattice_angstrom": [[4.892, 0.000, 0.000], [-2.446, 4.236, 0.000], [0.000, 0.000, 4.766]],
  "species": ["Ba", "Si", "Te"],
  "frac_coords": [[0.000, 0.000, 0.000], [0.667, 0.333, 0.448], [0.333, 0.667, 0.531]],
  "space_group": "No. 156",
  "magnetic_moment_mub_per_atom": 0.0000,
  "dos_at_fermi_per_ev_atom": 0.462
}



Relative to the most stable structure, the computed energies are one 54.3; two 0.0, all in kJ/mol of atoms.



## one
{
  "formula": "BaSi3Te",
  "functional": "PBE",
  "state": "optimized geometry",
  "lattice_angstrom": [[5.353, 0.000, 0.000], [0.000, 5.353, 0.000], [0.000, 0.000, 5.353]],
  "species": ["Ba", "Si", "Si", "Si", "Te"],
  "frac_coords": [[0.000, 0.000, 0.000], [0.000, 0.500, 0.500], [0.500, 0.000, 0.500], [0.500, 0.500, 0.000], [0.500, 0.500, 0.500]],
  "space_group": "No. 221",
  "magnetic_moment_mub_per_atom": 0.0000,
  "dos_at_fermi_per_ev_atom": 0.544
}



## two
{
  "formula": "BaSi3Te",
  "functional": "PBE",
  "state": "optimized geometry",
  "lattice_angstrom": [[5.768, 0.000, 0.000], [0.000, 5.768, 0.000], [0.000, 0.000, 5.768]],
  "species": ["Ba", "Si", "Si", "Si", "Te"],
  "frac_coords": [[0.000, 0.000, 0.000], [0.000, 0.000, 0.500], [0.000, 0.500, 0.000], [0.500, 0.000, 0.000], [0.500, 0.500, 0.500]],
  "space_group": "No. 221",
  "magnetic_moment_mub_per_atom": 0.0000,
  "dos_at_fermi_per_ev_atom": 1.768
}



Relative to the most stable structure, the computed energies are one 0.0; two 108.1, all in kJ/mol of atoms.



## one
{
  "formula": "BaTi3Si",
  "functional": "PBE",
  "state": "optimized geometry",
  "lattice_angstrom": [[4.904, 0.000, 0.000], [0.000, 4.904, 0.000], [0.000, 0.000, 4.904]],
  "species": ["Ba", "Ti", "Ti", "Ti", "Si"],
  "frac_coords": [[0.000, 0.000, 0.000], [0.000, 0.500, 0.500], [0.500, 0.000, 0.500], [0.500, 0.500, 0.000], [0.500, 0.500, 0.500]],
  "space_group": "No. 221",
  "magnetic_moment_mub_per_atom": 0.0000,
  "dos_at_fermi_per_ev_atom": 1.434
}



## two
{
  "formula": "BaTi3Si",
  "functional": "PBE",
  "state": "optimized geometry",
  "lattice_angstrom": [[4.914, 0.000, 0.000], [0.000, 4.914, 0.000], [0.000, 0.000, 4.914]],
  "species": ["Ba", "Ti", "Ti", "Ti", "Si"],
  "frac_coords": [[0.000, 0.000, 0.000], [0.000, 0.000, 0.500], [0.000, 0.500, 0.000], [0.500, 0.000, 0.000], [0.500, 0.500, 0.500]],
  "space_group": "No. 221",
  "magnetic_moment_mub_per_atom": 0.0907,
  "dos_at_fermi_per_ev_atom": 1.567
}



Relative to the most stable structure, the computed energies are one 0.0; two 146.0, all in kJ/mol of atoms.



## one
{
  "formula": "BaTl2Si2",
  "functional": "PBE",
  "state": "optimized geometry",
  "lattice_angstrom": [[4.874, 0.000, 0.000], [0.000, 4.874, 0.000], [0.000, 0.000, 11.905]],
  "species": ["Ba", "Ba", "Tl", "Tl", "Tl", "Tl", "Si", "Si", "Si", "Si"],
  "frac_coords": [[0.000, 0.000, 0.000], [0.500, 0.500, 0.500], [0.000, 0.500, 0.250], [0.000, 0.500, 0.750], [0.500, 0.000, 0.250], [0.500, 0.000, 0.750], [0.000, 0.000, 0.402], [0.000, 0.000, 0.598], [0.500, 0.500, 0.098], [0.500, 0.500, 0.902]],
  "space_group": "No. 139",
  "magnetic_moment_mub_per_atom": 0.0000,
  "dos_at_fermi_per_ev_atom": 0.554
}



## two
{
  "formula": "BaTl2Si2",
  "functional": "PBE",
  "state": "optimized geometry",
  "lattice_angstrom": [[5.102, 0.000, 0.000], [0.000, 5.102, 0.000], [0.000, 0.000, 10.780]],
  "species": ["Ba", "Ba", "Tl", "Tl", "Tl", "Tl", "Si", "Si", "Si", "Si"],
  "frac_coords": [[0.000, 0.000, 0.000], [0.500, 0.500, 0.500], [0.000, 0.000, 0.362], [0.000, 0.000, 0.638], [0.500, 0.500, 0.138], [0.500, 0.500, 0.862], [0.000, 0.500, 0.250], [0.000, 0.500, 0.750], [0.500, 0.000, 0.250], [0.500, 0.000, 0.750]],
  "space_group": "No. 139",
  "magnetic_moment_mub_per_atom": 0.0000,
  "dos_at_fermi_per_ev_atom": 0.559
}



## three
{
  "formula": "BaTl2Si2",
  "functional": "PBE",
  "state": "optimized geometry",
  "lattice_angstrom": [[8.202, 0.000, 0.000], [0.000, 8.202, 0.000], [0.000, 0.000, 4.403]],
  "species": ["Ba", "Ba", "Tl", "Tl", "Tl", "Tl", "Si", "Si", "Si", "Si"],
  "frac_coords": [[0.000, 0.000, 0.000], [0.500, 0.500, 0.000], [0.163, 0.337, 0.500], [0.337, 0.837, 0.500], [0.663, 0.163, 0.500], [0.837, 0.663, 0.500], [0.099, 0.599, 0.000], [0.401, 0.099, 0.000], [0.599, 0.901, 0.000], [0.901, 0.401, 0.000]],
  "space_group": "No. 127",
  "magnetic_moment_mub_per_atom": 0.0000,
  "dos_at_fermi_per_ev_atom": 0.542
}



Relative to the most stable structure, the computed energies are one 0.0; two 11.6; three 13.5, all in kJ/mol of atoms.



## one
{
  "formula": "BaTlSi2",
  "functional": "PBE",
  "state": "optimized geometry",
  "lattice_angstrom": [[5.048, 0.000, 0.000], [0.000, 5.048, 0.000], [0.000, 0.000, 19.429]],
  "species": ["Ba", "Ba", "Ba", "Ba", "Tl", "Tl", "Tl", "Tl", "Si", "Si", "Si", "Si", "Si", "Si", "Si", "Si"],
  "frac_coords": [[0.000, 0.250, 0.375], [0.000, 0.750, 0.625], [0.500, 0.250, 0.125], [0.500, 0.750, 0.875], [0.000, 0.250, 0.875], [0.000, 0.750, 0.125], [0.500, 0.250, 0.625], [0.500, 0.750, 0.375], [0.000, 0.000, 0.000], [0.000, 0.500, 0.000], [0.250, 0.250, 0.750], [0.250, 0.750, 0.250], [0.500, 0.000, 0.500], [0.500, 0.500, 0.500], [0.750, 0.250, 0.750], [0.750, 0.750, 0.250]],
  "space_group": "No. 141",
  "magnetic_moment_mub_per_atom": 0.0000,
  "dos_at_fermi_per_ev_atom": 0.539
}



## two
{
  "formula": "BaTlSi2",
  "functional": "PBE",
  "state": "optimized geometry",
  "lattice_angstrom": [[7.583, 0.000, 0.000], [0.000, 7.583, 0.000], [0.000, 0.000, 7.583]],
  "species": ["Ba", "Ba", "Ba", "Ba", "Tl", "Tl", "Tl", "Tl", "Si", "Si", "Si", "Si", "Si", "Si", "Si", "Si"],
  "frac_coords": [[0.000, 0.000, 0.000], [0.000, 0.500, 0.500], [0.500, 0.000, 0.500], [0.500, 0.500, 0.000], [0.250, 0.250, 0.250], [0.250, 0.750, 0.750], [0.750, 0.250, 0.750], [0.750, 0.750, 0.250], [0.000, 0.000, 0.500], [0.000, 0.500, 0.000], [0.250, 0.250, 0.750], [0.250, 0.750, 0.250], [0.500, 0.000, 0.000], [0.500, 0.500, 0.500], [0.750, 0.250, 0.250], [0.750, 0.750, 0.750]],
  "space_group": "No. 216",
  "magnetic_moment_mub_per_atom": 0.0000,
  "dos_at_fermi_per_ev_atom": 0.640
}



## three
{
  "formula": "BaTlSi2",
  "functional": "PBE",
  "state": "optimized geometry",
  "lattice_angstrom": [[10.099, 0.000, 0.000], [0.000, 3.951, 0.000], [-2.342, 0.000, 5.875]],
  "species": ["Ba", "Ba", "Tl", "Tl", "Si", "Si", "Si", "Si"],
  "frac_coords": [[0.000, 0.000, 0.000], [0.500, 0.500, 0.000], [0.000, 0.500, 0.500], [0.500, 0.000, 0.500], [0.246, 0.500, 0.376], [0.254, 0.000, 0.624], [0.746, 0.000, 0.376], [0.754, 0.500, 0.624]],
  "space_group": "No. 12",
  "magnetic_moment_mub_per_atom": 0.0000,
  "dos_at_fermi_per_ev_atom": 0.469
}



Relative to the most stable structure, the computed energies are one 14.2; two 35.8; three 0.0, all in kJ/mol of atoms.



## one
{
  "formula": "BaTlSi2",
  "functional": "PBE",
  "state": "optimized geometry",
  "lattice_angstrom": [[4.830, 0.000, 0.000], [0.000, 4.830, 0.000], [0.000, 0.000, 4.554]],
  "species": ["Ba", "Tl", "Si", "Si"],
  "frac_coords": [[0.000, 0.000, 0.000], [0.500, 0.500, 0.000], [0.000, 0.500, 0.500], [0.500, 0.000, 0.500]],
  "space_group": "No. 123",
  "magnetic_moment_mub_per_atom": 0.0000,
  "dos_at_fermi_per_ev_atom": 0.594
}



## two
{
  "formula": "BaTlSi2",
  "functional": "PBE",
  "state": "optimized geometry",
  "lattice_angstrom": [[3.894, 0.000, 0.000], [0.000, 4.867, 0.000], [0.000, 0.000, 12.053]],
  "species": ["Ba", "Ba", "Tl", "Tl", "Si", "Si", "Si", "Si"],
  "frac_coords": [[0.000, 0.000, 0.000], [0.500, 0.500, 0.500], [0.000, 0.500, 0.215], [0.500, 0.000, 0.715], [0.000, 0.000, 0.376], [0.000, 0.500, 0.756], [0.500, 0.000, 0.256], [0.500, 0.500, 0.876]],
  "space_group": "No. 44",
  "magnetic_moment_mub_per_atom": 0.0000,
  "dos_at_fermi_per_ev_atom": 0.340
}



## three
{
  "formula": "BaTlSi2",
  "functional": "PBE",
  "state": "optimized geometry",
  "lattice_angstrom": [[3.939, 0.000, 0.000], [-1.969, 3.411, 0.000], [0.000, 0.000, 25.497]],
  "species": ["Ba", "Ba", "Ba", "Tl", "Tl", "Tl", "Si", "Si", "Si", "Si", "Si", "Si"],
  "frac_coords": [[0.000, 0.000, 0.000], [0.333, 0.667, 0.667], [0.667, 0.333, 0.333], [0.000, 0.000, 0.213], [0.333, 0.667, 0.880], [0.667, 0.333, 0.546], [0.000, 0.000, 0.457], [0.000, 0.000, 0.757], [0.333, 0.667, 0.123], [0.333, 0.667, 0.424], [0.667, 0.333, 0.091], [0.667, 0.333, 0.790]],
  "space_group": "No. 160",
  "magnetic_moment_mub_per_atom": 0.0000,
  "dos_at_fermi_per_ev_atom": 0.597
}



Relative to the most stable structure, the computed energies are one 35.6; two 0.0; three 12.8, all in kJ/mol of atoms.